A) The following is a PBE calculation of an optimized crystal structure of ScH3Rh3, from the Alexandria database.

## Properties
- DOS(E_F) (states/eV per cell) = 4.5
- mass density (g cm⁻³) = 8.9

Structure (CIF):
```
data_ScH3Rh3
_symmetry_space_group_name_H-M 'P m -3 m'
_symmetry_Int_Tables_number 221
_symmetry_space_group_name_Hall '-P 4 2 3'
_cell_length_a 4.0547
_cell_length_b 4.0547
_cell_length_c 4.0547
_cell_angle_alpha 90.00
_cell_angle_beta 90.00
_cell_angle_gamma 90.00
loop_
_atom_site_label
_atom_site_fract_x
_atom_site_fract_y
_atom_site_fract_z
Sc1 0.0000 0.0000 0.0000
H1 0.0000 0.0000 0.5000
Rh1 0.0000 0.5000 0.5000
```



B) The following is a PBE calculation of an optimized crystal structure of ScH3Rh3, from the Alexandria database.

## Properties
- DOS(E_F) (states/eV per cell) = 12.3
- mass density (g cm⁻³) = 8.1

Structure (CIF):
```
data_ScH3Rh3
_symmetry_space_group_name_H-M 'P m -3 n'
_symmetry_Int_Tables_number 223
_symmetry_space_group_name_Hall '-P 4n 2 3'
_cell_length_a 5.2640
_cell_length_b 5.2640
_cell_length_c 5.2640
_cell_angle_alpha 90.00
_cell_angle_beta 90.00
_cell_angle_gamma 90.00
loop_
_atom_site_label
_atom_site_fract_x
_atom_site_fract_y
_atom_site_fract_z
Sc1 0.0000 0.0000 0.0000
H1 0.0000 0.2500 0.5000
Rh1 0.0000 0.5000 0.2500
```



The most stable of them is A).



A) The following is a PBE calculation of an optimized crystal structure of Sc2HRh, from the Alexandria database.

## Properties
- DOS(E_F) (states/eV per cell) = 3.3
- mass density (g cm⁻³) = 3.8

Structure (CIF):
```
data_Sc2HRh
_symmetry_space_group_name_H-M 'R -3 m'
_symmetry_Int_Tables_number 166
_symmetry_space_group_name_Hall '-R 3 2"'
_cell_length_a 3.8293
_cell_length_b 3.8293
_cell_length_c 19.9201
_cell_angle_alpha 90.00
_cell_angle_beta 90.00
_cell_angle_gamma 120.00
loop_
_atom_site_label
_atom_site_fract_x
_atom_site_fract_y
_atom_site_fract_z
Sc1 0.0000 0.0000 0.0979
H1 0.0000 0.0000 0.0000
Rh1 0.0000 0.0000 0.5000
```



B) The following is a PBE calculation of an optimized crystal structure of Sc2HRh, from the Alexandria database.

## Properties
- DOS(E_F) (states/eV per cell) = 8.1
- mass density (g cm⁻³) = 5.2

Structure (CIF):
```
data_Sc2HRh
_symmetry_space_group_name_H-M 'I -4 2 d'
_symmetry_Int_Tables_number 122
_symmetry_space_group_name_Hall 'I -4 2bw'
_cell_length_a 6.1006
_cell_length_b 6.1006
_cell_length_c 6.6042
_cell_angle_alpha 90.00
_cell_angle_beta 90.00
_cell_angle_gamma 90.00
loop_
_atom_site_label
_atom_site_fract_x
_atom_site_fract_y
_atom_site_fract_z
Sc1 0.1723 0.2500 0.1250
H1 0.0000 0.0000 0.0000
Rh1 0.0000 0.0000 0.5000
```



C) The following is a PBE calculation of an optimized crystal structure of Sc2HRh, from the Alexandria database.

## Properties
- DOS(E_F) (states/eV per cell) = 3.6
- mass density (g cm⁻³) = 5.3

Structure (CIF):
```
data_Sc2HRh
_symmetry_space_group_name_H-M 'P 4/m m m'
_symmetry_Int_Tables_number 123
_symmetry_space_group_name_Hall '-P 4 2'
_cell_length_a 3.0210
_cell_length_b 3.0210
_cell_length_c 6.6618
_cell_angle_alpha 90.00
_cell_angle_beta 90.00
_cell_angle_gamma 90.00
loop_
_atom_site_label
_atom_site_fract_x
_atom_site_fract_y
_atom_site_fract_z
Sc1 0.0000 0.0000 0.2386
H1 0.5000 0.5000 0.0000
Rh1 0.5000 0.5000 0.5000
```



The most stable of them is B).